Entry 1:
Here is EuGdPb4 after structural relaxation from Alexandria via LeMat-Bulk. Energies are from GGA-PBE.

Properties
Crystal system   cubic
DFT total energy   -6.769 eV per atom
D(E_F)   8.122 states/eV/cell
ΔE_f   -23.0 kJ per mole of atoms

Lattice parameters (Å, degrees): 6.501 6.501 6.501 60.00 60.00 60.00
Element x y z (fractional)
1 Eu 0.000 0.000 0.000
2 Gd 0.750 0.750 0.750
3 Pb 0.375 0.375 0.375
4 Pb 0.375 0.375 0.874
5 Pb 0.375 0.874 0.375
6 Pb 0.874 0.375 0.375

---

Entry 2:
Here is K2BaCa after structural relaxation from Alexandria via LeMat-Bulk. Energies are from GGA-PBE.

Properties
Crystal system   orthorhombic
DFT total energy   -1.403 eV per atom
D(E_F)   5.238 states/eV/cell
ΔE_f   12.2 kJ per mole of atoms

Lattice parameters (Å, degrees): 4.353 6.092 9.209 90.00 90.00 90.00
Element x y z (fractional)
1 K 0.000 0.000 0.000
2 K 0.500 0.500 0.259
3 Ba 0.000 0.000 0.534
4 Ca 0.500 0.500 0.746

---

Entry 3:
Here is Sr2HgBr after structural relaxation from Alexandria via LeMat-Bulk. Energies are from GGA-PBE.

Properties
Formation energy from raw total energies   -842 meV/atom
Crystal system   tetragonal
DFT total energy   -2.176 eV per atom
D(E_F)   4.860 states/eV/cell

Lattice parameters (Å, degrees): 7.423 7.423 7.423 110.86 110.86 106.72
Element x y z (fractional)
1 Sr 0.117 0.625 0.992
2 Sr 0.375 0.367 0.492
3 Sr 0.633 0.125 0.008
4 Sr 0.875 0.883 0.508
5 Hg 0.250 0.750 0.500
6 Hg 0.500 0.500 0.000
7 Br 0.000 0.000 0.000
8 Br 0.750 0.250 0.500

---

Entry 4:
Here is CaNbGe after structural relaxation from Alexandria via LeMat-Bulk. Energies are from GGA-PBE.

Properties
Crystal system   orthorhombic
DFT total energy   -5.648 eV per atom
D(E_F)   6.122 states/eV/cell
ΔE_f   -8.2 kJ per mole of atoms

Lattice parameters (Å, degrees): 4.625 6.077 6.077 126.22 90.00 90.00
Element x y z (fractional)
1 Ca 0.000 0.000 0.000
2 Ca 0.500 0.466 0.466
3 Nb 0.500 0.073 0.642
4 Nb 0.500 0.642 0.073
5 Ge 0.000 0.388 0.817
6 Ge 0.000 0.817 0.388

---

Entry 5:
Here is CaLuMgHg after structural relaxation from Alexandria via LeMat-Bulk. Energies are from GGA-PBE.

Properties
Crystal system   cubic
DFT total energy   -2.358 eV per atom
D(E_F)   3.304 states/eV/cell
ΔE_f   -24.5 kJ per mole of atoms

Lattice parameters (Å, degrees): 5.302 5.302 5.302 60.00 60.00 60.00
Element x y z (fractional)
1 Ca 0.000 0.000 0.000
2 Lu 0.500 0.500 0.500
3 Mg 0.750 0.750 0.750
4 Hg 0.250 0.250 0.250

---

Entry 6:
Here is SrLa4As after structural relaxation from Alexandria via LeMat-Bulk. Energies are from GGA-PBE.

Properties
Crystal system   cubic
DFT total energy   -4.134 eV per atom
D(E_F)   9.545 states/eV/cell
ΔE_f   19.9 kJ per mole of atoms

Lattice parameters (Å, degrees): 6.675 6.675 6.675 60.00 60.00 60.00
Element x y z (fractional)
1 Sr 0.000 0.000 0.000
2 La 0.375 0.375 0.375
3 La 0.375 0.375 0.876
4 La 0.375 0.876 0.375
5 La 0.876 0.375 0.375
6 As 0.750 0.750 0.750

---

Entry 7:
Here is BeZnIn after structural relaxation from Alexandria via LeMat-Bulk. Energies are from GGA-PBE.

Properties
Crystal system   monoclinic
DFT total energy   -2.348 eV per atom
D(E_F)   1.084 states/eV/cell
ΔE_f   22.4 kJ per mole of atoms

Lattice parameters (Å, degrees): 4.837 3.879 6.083 90.00 113.45 90.00
Element x y z (fractional)
1 Be 0.000 0.000 0.000
2 Be 0.166 0.500 0.887
3 Zn 0.660 0.500 0.834
4 Zn 0.865 0.000 0.603
5 In 0.188 0.500 0.373
6 In 0.555 0.000 0.127

---

Entry 8:
Here is GeTe2IrSe after structural relaxation from Alexandria via LeMat-Bulk. Energies are from GGA-PBE.

Properties
Formation energy from raw total energies   1254 meV/atom
Crystal system   tetragonal
DFT total energy   -3.395 eV per atom
D(E_F)   6.274 states/eV/cell

Lattice parameters (Å, degrees): 5.268 5.268 4.751 90.00 90.00 90.00
Element x y z (fractional)
1 Ge 0.000 0.000 0.000
2 Te 0.000 0.500 0.000
3 Te 0.500 0.000 0.000
4 Ir 0.500 0.500 0.500
5 Se 0.000 0.000 0.500